No. 1
First-principles (PBE) data for a relaxed structure of Ce2SnGe3Rh4, as listed in the Alexandria database.

abc: 4.247 4.247 10.540
angles: 90.00 90.00 90.00
Fractional positions:
Ce 0.500 0.000 0.246
Ce 0.000 0.500 0.754
Sn 0.500 0.500 0.500
Ge 0.000 0.000 0.500
Ge 0.500 0.000 0.875
Ge 0.000 0.500 0.125
Rh 0.500 0.500 0.000
Rh 0.000 0.000 0.000
Rh 0.500 0.000 0.645
Rh 0.000 0.500 0.355

Summary:
The space-group type is P-4m2, No. 115. The formation energy comes out at -8.1 eV per formula unit.


No. 2
First-principles (PBE) data for a relaxed structure of Ce2TaGe4Rh3, as listed in the Alexandria database.

abc: 4.183 4.183 10.774
angles: 90.00 90.00 90.00
Fractional positions:
Ce 0.500 0.000 0.236
Ce 0.000 0.500 0.764
Ta 0.500 0.500 0.500
Ge 0.500 0.500 0.000
Ge 0.000 0.000 0.000
Ge 0.500 0.000 0.647
Ge 0.000 0.500 0.353
Rh 0.000 0.000 0.500
Rh 0.500 0.000 0.875
Rh 0.000 0.500 0.125

Summary:
The space-group type is P-4m2, No. 115. The formation energy comes out at -7.2 eV per formula unit.


No. 3
First-principles (PBE) data for a relaxed structure of CeTaGe2Rh5, as listed in the Alexandria database.

abc: 3.999 3.999 11.012
angles: 90.00 90.00 90.00
Fractional positions:
Ce 0.000 0.000 0.500
Ta 0.000 0.000 0.000
Ge 0.500 0.500 0.280
Ge 0.500 0.500 0.720
Rh 0.000 0.500 0.152
Rh 0.500 0.000 0.152
Rh 0.000 0.500 0.848
Rh 0.500 0.000 0.848
Rh 0.500 0.500 0.500

Summary:
The space-group type is P4/mmm, No. 123. The formation energy comes out at -4.1 eV per formula unit.